# Pm2PaNi3Ge4, relaxed, DFT GGA-PBE
# D(E_F) = 6.9 states/eV per cell
# calculated volume = 192 Å³ per cell
# raw total energy = -6.030 eV per atom
# spin magnetization = 0.00 μB/cell
# formation enthalpy at 0 K = -5.49 eV/f.u.
# space-group type = P-4m2, No. 115
data_Pm2PaNi3Ge4
_cell_length_a 4.1772
_cell_length_b 4.1772
_cell_length_c 11.0293
_cell_angle_alpha 90.00
_cell_angle_beta 90.00
_cell_angle_gamma 90.00
_space_group_name_H-M_alt 'P 1'
_space_group_IT_number 1
_space_group_name_Hall 'P 1'
loop_
_atom_site_label
_atom_site_type_symbol
_atom_site_fract_x
_atom_site_fract_y
_atom_site_fract_z
Pm1 Pm 0.0000 0.5000 0.2170
Pm2 Pm 0.5000 0.0000 0.7830
Pa1 Pa 0.0000 0.0000 0.5000
Ni1 Ni 0.0000 0.5000 0.8922
Ni2 Ni 0.5000 0.0000 0.1078
Ni3 Ni 0.5000 0.5000 0.5000
Ge1 Ge 0.0000 0.0000 0.0000
Ge2 Ge 0.0000 0.5000 0.6768
Ge3 Ge 0.5000 0.0000 0.3232
Ge4 Ge 0.5000 0.5000 0.0000